No. 1
The following is a DFT calculation (PBE-GGA) of a relaxed Li3U2Te6Au crystal.

a b c (Å): 7.4040 12.7952 7.4684
angles (deg): 90.00 109.28 90.00
Last column: nearest neighbours and their distance in Å.
Space group C2/m (No. 12)
Unique sites:
Li  0.0000  0.0000  0.0000 [2 per cell]  6 Te 3.00
Li  0.0000  0.3338  0.0000 [4 per cell]  6 Te 3.00-3.01
U  0.0000  0.1669  0.5000 [4 per cell]  6 Te 3.05-3.06
Te  0.2482  0.1664  0.2442 [8 per cell]  3 Li 3.00-3.01, 1 Au 3.05, 2 U 3.05-3.06
Te  0.2486  0.5000  0.2431 [4 per cell]  3 Li 3.00, 2 U 3.06, 1 Au 3.07
Au  0.0000  0.5000  0.5000 [2 per cell]  6 Te 3.05-3.07

Output
Uncorrected energy (eV/atom): -4.839
Spin magnetization (μB per formula unit): 3.99
Raw formation energy (eV/atom): -0.635

No. 2
The following is a DFT calculation (PBE-GGA) of a relaxed Li2ZnTeAu crystal.

a b c (Å): 5.1570 5.1570 5.6026
angles (deg): 90.00 90.00 90.00
Last column: nearest neighbours and their distance in Å.
Space group P4/mmm (No. 123)
Unique sites:
Li  0.0000  0.5000  0.0000 [2 per cell]  2 Te 2.58
Zn  0.0000  0.0000  0.5000 [1 per cell]  4 Au 3.65, 8 Li 3.81
Te  0.5000  0.5000  0.0000 [1 per cell]  4 Li 2.58, 2 Au 2.80
Au  0.5000  0.5000  0.5000 [1 per cell]  2 Te 2.80

Output
Uncorrected energy (eV/atom): -2.405
Spin magnetization (μB per formula unit): 0.00
Raw formation energy (eV/atom): -0.101

No. 3
The following is a DFT calculation (PBE-GGA) of a relaxed Li4Zr3Te8Au crystal.

a b c (Å): 8.2748 8.2748 20.9744
angles (deg): 90.00 90.00 120.00
Last column: nearest neighbours and their distance in Å.
Space group R-3m (No. 166, hexagonal axes)
Unique sites:
Li  0.0000  0.0000  0.0000 [3 per cell]  6 Te 2.96
Li  0.0000  0.5000  0.0000 [9 per cell]  6 Te 2.96-2.99
Zr  0.0000  0.5000  0.5000 [9 per cell]  6 Te 2.93-2.96
Te  0.0000  0.0000  0.2501 [6 per cell]  3 Li 2.96, 3 Zr 2.96
Te  0.0028  0.5014  0.7515 [18 per cell]  2 Zr 2.93, 1 Au 2.96, 3 Li 2.96-2.99
Au  0.0000  0.0000  0.5000 [3 per cell]  6 Te 2.96

Output
Uncorrected energy (eV/atom): -4.621
Spin magnetization (μB per formula unit): 0.00
Raw formation energy (eV/atom): -0.764

No. 4
The following is a DFT calculation (PBE-GGA) of a relaxed LiThAu3 crystal.

a b c (Å): 21.6960 4.2158 4.6078
angles (deg): 90.00 102.17 90.00
Last column: nearest neighbours and their distance in Å.
Space group C2/m (No. 12)
Unique sites:
Li  0.1483  0.0000  0.3992 [4 per cell]  5 Au 2.40-2.53
Th  0.0880  0.5000  0.8382 [4 per cell]  10 Au 3.13-3.34, 4 Li 3.37-3.38
Au  0.0342  0.0000  0.2839 [4 per cell]  1 Li 2.42
Au  0.1973  0.0000  0.9478 [4 per cell]  2 Li 2.53
Au  0.2022  0.5000  0.4517 [4 per cell]  2 Li 2.40

Output
Uncorrected energy (eV/atom): -4.287
Spin magnetization (μB per formula unit): 0.00
DFT formation energy (eV per atom): -0.4541
Distance to the lowest polymorph of the same formula (meV per atom): 92